1.
Entry from OQMD via LeMat-Bulk: a relaxed structure of Rb2PdClF3 (PBE).

Cell: 3.7414 9.7294 8.1863 Å, 90.00 90.00 90.00°
Last column: nearest neighbours and their distance in Å.
Space group Amm2 (No. 38)
Asymmetric unit:
Rb 0.0000 0.2186 0.0000 (multiplicity 4)  6 F 2.78-2.87
Pd 0.5000 0.0000 0.2740 (multiplicity 2)  3 F 2.00-2.04
Cl 0.5000 0.0000 0.5529 (multiplicity 2)  1 Pd 2.28
F 0.5000 0.0000 0.0253 (multiplicity 2)  1 Pd 2.04
F 0.5000 0.2053 0.2656 (multiplicity 4)  1 Pd 2.00

2.
Entry from OQMD via LeMat-Bulk: a relaxed structure of SmZn5 (PBE).

Output
- energy of formation from the pure elements (eV/atom) = -0.30
- total magnetization (μB per formula unit) = 0.01

Cell: 5.3222 5.3222 4.2020 Å, 90.00 90.00 120.00°
Last column: nearest neighbours and their distance in Å.
Space group P-62m (No. 189)
Asymmetric unit:
Sm 0.0000 0.0000 0.0000 (multiplicity 1)  18 Zn 3.07-3.42
Zn 0.0000 0.4923 0.5000 (multiplicity 3)  8 Zn 2.60-2.66
Zn 0.3333 0.6667 0.0000 (multiplicity 2)  6 Zn 2.60

no.,final energy (eV/cell)
1,-56.45
2,-12.84